(1)
VASP calculation (PBE-GGA) on a geometry-optimized AlCdO2 structure.

Geometry as extended XYZ:
```
4
Lattice="1.9821 0.0000 5.8223 -0.9911 1.7166 5.8223 -0.9911 -1.7166 5.8223" Properties=species:S:1:pos:R:3 pbc="T T T"
Al 0.0000 0.0000 0.0000
O 0.0000 0.0000 1.7081
Cd 0.0000 0.0000 8.7335
O 0.0000 0.0000 15.7588
```

* raw formation energy: -1.295 eV/atom
* E: -0.18150 hartree per atom
* offset from the most stable computed form: 2.77 eV/f.u.
* space group: No. 166


(2)
VASP calculation (PBE-GGA) on a geometry-optimized AlCd4O5 structure.

Geometry as extended XYZ:
```
10
Lattice="5.4626 0.0000 0.0000 2.7313 5.0007 0.0000 2.7313 0.0000 5.0007" Properties=species:S:1:pos:R:3 pbc="T T T"
O 5.2886 4.0922 3.3368
O 2.5573 3.3368 0.9085
Cd 5.7487 3.0375 0.9893
Cd 8.4800 4.0114 3.0375
Cd 5.7487 1.9632 4.0114
Al 0.2446 0.0000 0.0000
O 5.2886 0.9085 1.6639
O 2.0948 0.0000 0.0000
O 8.0199 1.6639 4.0922
Cd 3.0174 0.9893 1.9632
```

* raw formation energy: -1.336 eV/atom
* E: -0.16742 hartree per atom
* space group: No. 79


(3)
VASP calculation (PBE-GGA) on a geometry-optimized AlCdO2 structure.

Geometry as extended XYZ:
```
8
Lattice="5.1548 0.0000 0.0000 0.0000 5.1548 0.0000 2.5774 2.5774 4.2435" Properties=species:S:1:pos:R:3 pbc="T T T"
Al 2.5774 2.5774 0.0000
Cd 0.0000 0.0000 0.0000
O 1.9298 3.8661 1.0609
O 3.2250 1.2887 1.0609
Cd 5.1548 2.5774 2.1217
O 6.4435 5.8024 3.1826
Al 2.5774 5.1548 2.1217
O 3.8661 4.5072 3.1826
```

* raw formation energy: -1.925 eV/atom
* E: -0.20466 hartree per atom
* offset from the most stable computed form: 0.25 eV/f.u.
* space group: No. 122


(4)
VASP calculation (PBE-GGA) on a geometry-optimized Al2Cd2O structure.

Geometry as extended XYZ:
```
5
Lattice="-0.5181 -3.2199 1.3474 1.9956 -1.3908 -2.5563 7.0306 -1.4559 3.8452" Properties=species:S:1:pos:R:3 pbc="T T T"
Cd 6.6598 -3.9111 2.4560
O 0.0000 0.0000 0.0000
Al 4.8825 -2.5761 0.3422
Cd 1.8483 -2.1556 0.1802
Al 3.6256 -3.4906 2.2941
```

* raw formation energy: 0.226 eV/atom
* E: -0.09661 hartree per atom
* offset from the most stable computed form: 0.83 eV/f.u.
* space group: No. 139


Q: Look up the raw formation energy of the second one.
A: -1.336 eV/atom


Q: What is the formula in the first record?
A: AlCdO2


Q: Which formula does entry 3 have?
A: AlCdO2


Q: Which value of raw formation energy does entry 1 give?
A: -1.295 eV/atom